(1)
VASP calculation (PBE-GGA) on an optimized crystal structure of VSb3Pb.

The space group is Pm-3m (No. 221) and the conventional cell measures 5.2066, 5.2066 and 5.2066 Å, with angles of 90.00, 90.00 and 90.00 degrees. The asymmetric unit holds V at (0.0000, 0.0000, 0.0000), Sb at (0.0000, 0.0000, 0.5000) and Pb at (0.5000, 0.5000, 0.5000).

The value obtained for the density of states at the Fermi level is 5.4 states/eV per cell. The volume is 141.14 Å³/cell. The raw formation energy is 282 meV/atom. The calculation puts the energy above the lowest structure with this stoichiometry at 0 meV per atom.

---

(2)
VASP calculation (PBE-GGA) on an optimized crystal structure of V2SbPb.

The space group is I-42d (No. 122) and the conventional cell measures 7.5435, 7.5435 and 6.3409 Å, with angles of 90.00, 90.00 and 90.00 degrees. The asymmetric unit holds V at (0.2292, 0.7500, 0.1250), Sb at (0.0000, 0.0000, 0.0000) and Pb at (0.0000, 0.0000, 0.5000).

The value obtained for the density of states at the Fermi level is 31.6 states/eV per cell. The volume is 360.82 Å³/cell. The raw formation energy is 680 meV/atom. The calculation puts the energy above the lowest structure with this stoichiometry at 230 meV per atom.

---

(3)
VASP calculation (PBE-GGA) on an optimized crystal structure of VSbPb3.

The space group is Pm-3m (No. 221) and the conventional cell measures 5.8297, 5.8297 and 5.8297 Å, with angles of 90.00, 90.00 and 90.00 degrees. The asymmetric unit holds V at (0.0000, 0.0000, 0.0000), Sb at (0.5000, 0.5000, 0.5000) and Pb at (0.0000, 0.5000, 0.5000).

The value obtained for the density of states at the Fermi level is 10.2 states/eV per cell. The volume is 198.12 Å³/cell. The raw formation energy is 1131 meV/atom. The calculation puts the energy above the lowest structure with this stoichiometry at 652 meV per atom.

---

(4)
VASP calculation (PBE-GGA) on an optimized crystal structure of VSbPb3.

The space group is Pm-3m (No. 221) and the conventional cell measures 5.3508, 5.3508 and 5.3508 Å, with angles of 90.00, 90.00 and 90.00 degrees. The asymmetric unit holds V at (0.0000, 0.0000, 0.0000), Sb at (0.5000, 0.5000, 0.5000) and Pb at (0.0000, 0.0000, 0.5000).

The value obtained for the density of states at the Fermi level is 8.7 states/eV per cell. The volume is 153.20 Å³/cell. The raw formation energy is 479 meV/atom. The calculation puts the energy above the lowest structure with this stoichiometry at 0 meV per atom.